(P)
CdRe2Hg: optimized geometry, GGA-PBE.

The space group is Cmm2 (No. 35) and the conventional cell measures 2.957, 4.842 and 10.173 Å, with angles of 90.00, 90.00 and 90.00 degrees. Symmetry generates all atoms from Cd at (0.000, 0.000, 0.000), Re at (0.000, 0.000, 0.459), Re at (0.000, 0.500, 0.253) and Hg at (0.000, 0.500, 0.719).

=====

(Q)
CdRe2Hg: optimized geometry, GGA-PBE.

The space group is Immm (No. 71) and the conventional cell measures 3.097, 4.604 and 9.815 Å, with angles of 90.00, 90.00 and 90.00 degrees. Symmetry generates all atoms from Cd at (0.000, 0.000, 0.000), Re at (0.000, 0.500, 0.248) and Hg at (0.000, 0.000, 0.500).

=====

On energetic grounds, (P) is preferred over the next structure by 0.350 eV/atom.

=====

(P)
CdRe2Hg: optimized geometry, GGA-PBE.

The space group is Pm (No. 6) and the conventional cell measures 2.990, 2.985 and 8.275 Å, with angles of 90.00, 90.38 and 90.00 degrees. Symmetry generates all atoms from Cd at (0.000, 0.000, 0.000), Re at (0.008, 0.000, 0.436), Re at (0.505, 0.500, 0.260) and Hg at (0.512, 0.500, 0.704).

=====

(Q)
CdRe2Hg: optimized geometry, GGA-PBE.

The space group is Cmmm (No. 65) and the conventional cell measures 5.526, 9.305 and 2.740 Å, with angles of 90.00, 90.00 and 90.00 degrees. Symmetry generates all atoms from Cd at (0.000, 0.000, 0.000), Re at (0.250, 0.250, 0.500) and Hg at (0.000, 0.500, 0.000).

=====

On energetic grounds, (P) is preferred over the next structure by 0.681 eV/atom.

=====

(P)
CdRe2Hg: optimized geometry, GGA-PBE.

The space group is P4/mmm (No. 123) and the conventional cell measures 3.892, 3.892 and 4.643 Å, with angles of 90.00, 90.00 and 90.00 degrees. Symmetry generates all atoms from Cd at (0.000, 0.000, 0.000), Re at (0.000, 0.500, 0.500) and Hg at (0.500, 0.500, 0.000).

=====

(Q)
CdRe2Hg: optimized geometry, GGA-PBE.

The space group is Cmmm (No. 65) and the conventional cell measures 3.085, 4.628 and 9.798 Å, with angles of 90.00, 90.00 and 90.00 degrees. Symmetry generates all atoms from Cd at (0.000, 0.000, 0.000), Re at (0.000, 0.500, 0.248) and Hg at (0.000, 0.000, 0.500).

=====

On energetic grounds, (Q) is preferred over the next structure by 0.112 eV/atom.

=====

(P)
CdReHg: optimized geometry, GGA-PBE.

The space group is P3m1 (No. 156) and the conventional cell measures 2.9262, 2.9262 and 7.5917 Å, with angles of 90.00, 90.00 and 120.00 degrees. Symmetry generates all atoms from Cd at (0.0000, 0.0000, 0.0000), Re at (0.3333, 0.6667, 0.6858) and Hg at (0.6667, 0.3333, 0.3633).

=====

(Q)
CdReHg: optimized geometry, GGA-PBE.

The space group is I4mm (No. 107) and the conventional cell measures 2.854, 2.854 and 13.938 Å, with angles of 90.00, 90.00 and 90.00 degrees. Symmetry generates all atoms from Cd at (0.000, 0.000, 0.000), Re at (0.000, 0.000, 0.345) and Hg at (0.000, 0.000, 0.684).

=====

(R)
CdReHg: optimized geometry, GGA-PBE.

The space group is F-43m (No. 216) and the conventional cell measures 6.526, 6.526 and 6.526 Å, with angles of 90.00, 90.00 and 90.00 degrees. Symmetry generates all atoms from Cd at (0.000, 0.000, 0.000), Re at (0.250, 0.250, 0.750) and Hg at (0.000, 0.000, 0.500).

=====

(S)
CdReHg: optimized geometry, GGA-PBE.

The space group is Imm2 (No. 44) and the conventional cell measures 2.775, 4.277 and 9.496 Å, with angles of 90.00, 90.00 and 90.00 degrees. Symmetry generates all atoms from Cd at (0.000, 0.000, 0.000), Re at (0.000, 0.000, 0.341) and Hg at (0.000, 0.000, 0.676).

=====

On energetic grounds, (P) is preferred over the next structure by 0.093 eV/atom.